First-principles (GGA-PBE) data for a relaxed Cs3PmTm2Se6 crystal, as listed in the Alexandria database.

Fermi-level density of states (states/eV/f.u.): 0.00
ΔE_f (raw) (eV per atom): -1.715
Space-group type: C2/m (12)
Volume (Å³ per atom): 33.07

Lattice parameters (Å, degrees): 7.3963 7.3963 8.7319 98.12 98.12 120.00
Positions (direct):
Cs 0.1645 0.8355 0.5000
Cs 0.8355 0.1645 0.5000
Cs 0.5000 0.5000 0.5000
Pm 0.0000 0.0000 0.0000
Tm 0.3332 0.6668 0.0000
Tm 0.6668 0.3332 0.0000
Se 0.9381 0.5954 0.8145
Se 0.7189 0.7189 0.1846
Se 0.0619 0.4046 0.1855
Se 0.5954 0.9381 0.8145
Se 0.2811 0.2811 0.8154
Se 0.4046 0.0619 0.1855